1.
## ZnCr2IrI (PBE)

Data for crystalline ZnCr2IrI at its relaxed geometry.

Structure (extended XYZ):
```
5
Lattice="-0.921 4.396 -2.275 -1.668 -2.396 -3.954 -4.646 0.031 1.941" Properties=species:S:1:pos:R:3 pbc="T T T"
I 0.000 0.000 0.000
Cr -2.323 0.016 0.970
Cr -0.460 2.198 -1.138
Zn -3.617 1.016 -2.144
Ir -0.834 -1.198 -1.977
```

Calculated values
The raw formation energy is 1.582 eV/atom. Its space group is P4/mmm. The calculation puts the final energy at -4.605 eV per atom.

2.
## TaMo2Pb (PBE)

Data for crystalline TaMo2Pb at its relaxed geometry.

Structure (extended XYZ):
```
4
Lattice="3.464 0.000 0.000 0.000 3.464 0.000 0.000 0.000 6.177" Properties=species:S:1:pos:R:3 pbc="T T T"
Mo 0.000 0.000 0.011
Mo 1.732 1.732 1.355
Pb 0.000 0.000 3.057
Ta 1.732 1.732 4.843
```

Calculated values
The calculated formation energy comes out at 1.6 eV/f.u. Its space group is P4mm. The calculation puts the final energy at -8.896 eV per atom.

3.
## Mn2NiOs (PBE)

Data for crystalline Mn2NiOs at its relaxed geometry.

Structure (extended XYZ):
```
4
Lattice="4.441 0.005 -0.001 3.680 2.487 -0.001 0.715 0.219 4.357" Properties=species:S:1:pos:R:3 pbc="T T T"
Mn 0.721 0.221 4.321
Mn 4.412 1.353 2.213
Ni 6.627 2.033 3.266
Os 2.209 0.678 1.089
```

Calculated values
The calculated formation energy comes out at 0.4 eV/f.u. Its space group is C2/m. The calculation puts the final energy at -8.737 eV per atom.

4.
## CuRhPb4 (PBE)

Data for crystalline CuRhPb4 at its relaxed geometry.

Structure (extended XYZ):
```
6
Lattice="0.000 4.395 4.395 4.395 0.000 4.395 4.395 4.395 0.000" Properties=species:S:1:pos:R:3 pbc="T T T"
Cu 0.000 0.000 0.000
Rh 6.592 6.592 6.592
Pb 3.301 5.489 5.489
Pb 5.489 5.489 3.301
Pb 5.489 3.301 5.489
Pb 3.301 3.301 3.301
```

Calculated values
The calculated formation energy comes out at 4.8 eV/f.u. Its space group is F-43m. The calculation puts the final energy at -3.575 eV per atom.

5.
## LaScGe2Os (PBE)

Data for crystalline LaScGe2Os at its relaxed geometry.

Structure (extended XYZ):
```
5
Lattice="4.168 0.000 0.000 0.000 4.168 0.000 -2.084 -2.084 5.873" Properties=species:S:1:pos:R:3 pbc="T T T"
La 0.000 0.000 0.000
Sc 0.000 2.084 2.937
Ge 2.084 2.084 1.301
Ge 0.000 0.000 4.573
Os 2.084 0.000 2.937
```

Calculated values
The calculated formation energy comes out at -3.2 eV/f.u. Its space group is I-4m2. The calculation puts the final energy at -6.988 eV per atom.

6.
## ZnAgHgBi (PBE)

Data for crystalline ZnAgHgBi at its relaxed geometry.

Structure (extended XYZ):
```
4
Lattice="5.042 0.000 0.000 2.521 4.366 0.000 2.521 1.455 4.116" Properties=species:S:1:pos:R:3 pbc="T T T"
Zn 7.562 4.366 3.087
Bi 5.042 2.911 2.058
Ag 2.521 1.455 1.029
Hg 0.000 0.000 0.000
```

Calculated values
The calculated formation energy comes out at 0.7 eV/f.u. Its space group is F-43m. The calculation puts the final energy at -1.908 eV per atom.

7.
## Mg2MnIr (PBE)

Data for crystalline Mg2MnIr at its relaxed geometry.

Structure (extended XYZ):
```
4
Lattice="-0.431 3.546 -1.946 -2.511 -1.709 -2.557 -3.047 0.930 2.370" Properties=species:S:1:pos:R:3 pbc="T T T"
Ir -1.739 2.238 0.212
Mg 0.000 0.000 0.000
Mg -2.779 -0.389 -0.094
Mn -1.471 0.918 -2.252
```

Calculated values
The calculated formation energy comes out at -0.4 eV/f.u. Its space group is P4/mmm. The calculation puts the final energy at -5.416 eV per atom.

8.
## Pr3Sm13 (PBE)

Data for crystalline Pr3Sm13 at its relaxed geometry.

Structure (extended XYZ):
```
16
Lattice="7.366 0.000 0.000 0.000 8.636 -0.829 0.000 0.122 8.675" Properties=species:S:1:pos:R:3 pbc="T T T"
Pr 5.521 0.470 8.287
Pr 0.000 2.613 5.894
Pr 1.846 0.470 8.287
Sm 5.521 8.331 3.892
Sm 5.523 4.738 3.522
Sm 5.521 3.977 -0.008
Sm 0.000 6.208 6.273
Sm 0.000 1.843 2.362
Sm 0.000 6.853 1.161
Sm 1.846 8.331 3.892
Sm 1.843 4.738 3.522
Sm 1.846 3.977 -0.008
Sm 3.683 2.613 5.894
Sm 3.683 6.200 6.267
Sm 3.683 1.849 2.370
Sm 3.683 6.854 1.160
```

Calculated values
The calculated formation energy comes out at 0.5 eV/f.u. Its space group is Amm2. The calculation puts the final energy at -4.700 eV per atom.

9.
## SmTlIn2 (PBE)

Data for crystalline SmTlIn2 at its relaxed geometry.

Structure (extended XYZ):
```
4
Lattice="4.776 0.000 0.000 0.000 4.707 0.000 0.000 0.000 4.707" Properties=species:S:1:pos:R:3 pbc="T T T"
Tl 2.388 0.000 0.000
Sm 2.388 2.353 2.353
In 0.000 0.000 2.353
In 0.000 2.353 0.000
```

Calculated values
The calculated formation energy comes out at -1.6 eV/f.u. Its space group is P4/mmm. The calculation puts the final energy at -3.534 eV per atom.

10.
## LiZrF6 (PBE)

Data for crystalline LiZrF6 at its relaxed geometry.

Structure (extended XYZ):
```
16
Lattice="-0.596 -2.479 6.032 4.524 -0.350 4.722 -2.085 6.552 2.497" Properties=species:S:1:pos:R:3 pbc="T T T"
Li 1.219 3.101 3.609
Li -0.298 -1.240 3.016
Zr 4.001 1.287 5.346
Zr -2.158 2.435 7.904
F 2.155 1.660 4.467
F -0.312 2.062 8.783
F 3.479 -0.071 6.831
F -1.636 3.793 6.419
F 0.402 -0.221 7.930
F 1.441 3.943 5.321
F -0.292 -0.487 4.783
F 2.135 4.209 8.468
F 0.520 -2.303 6.508
F 1.322 6.025 6.742
F -1.030 1.337 6.363
F 2.873 2.385 6.888
```

Calculated values
The raw formation energy is -2.946 eV/atom. Its space group is C2/c. The calculation puts the final energy at -5.658 eV per atom.

11.
## ZnI2Br (PBE)

Data for crystalline ZnI2Br at its relaxed geometry.

Structure (extended XYZ):
```
4
Lattice="-1.941 -4.957 1.187 -5.230 -1.189 -0.988 -1.300 -3.453 -4.017" Properties=species:S:1:pos:R:3 pbc="T T T"
I -2.118 -2.400 -0.955
I -6.354 -7.199 -2.864
Zn 0.000 0.000 0.000
Br -4.236 -4.799 -1.909
```

Calculated values
The raw formation energy is 0.321 eV/atom. Its space group is Fm-3m. The calculation puts the final energy at -1.190 eV per atom.

12.
## La3In9Pd2 (PBE)

Data for crystalline La3In9Pd2 at its relaxed geometry.

Structure (extended XYZ):
```
14
Lattice="4.566 0.000 1.226 1.794 8.527 2.433 0.018 -0.098 9.047" Properties=species:S:1:pos:R:3 pbc="T T T"
La 0.000 0.000 0.000
La 3.689 2.685 4.492
La 2.689 5.745 8.214
In 0.906 4.215 5.740
In 4.763 8.213 9.605
In 1.615 0.217 3.101
In 4.301 5.970 11.325
In 2.077 2.460 1.381
In 5.510 7.191 6.825
In 0.868 1.239 5.882
In 4.729 3.397 9.733
In 1.649 5.032 2.973
Pd 2.824 2.442 7.713
Pd 3.554 5.988 4.993
```

Calculated values
The calculated formation energy comes out at -7.2 eV/f.u. Its space group is Immm. The calculation puts the final energy at -4.070 eV per atom.

13.
## Er6TmAl (PBE)

Data for crystalline Er6TmAl at its relaxed geometry.

Structure (extended XYZ):
```
8
Lattice="9.049 0.019 0.182 4.514 7.130 -0.126 4.447 2.246 3.669" Properties=species:S:1:pos:R:3 pbc="T T T"
Er 5.708 4.881 2.733
Er 14.438 8.511 2.661
Er 6.856 2.102 0.696
Er 3.572 0.884 1.063
Er 12.302 4.514 0.992
Er 11.154 7.293 3.029
Tm 9.005 4.698 1.862
Al 0.000 0.000 0.000
```

Calculated values
The calculated formation energy comes out at 0.4 eV/f.u. Its space group is R-3. The calculation puts the final energy at -4.405 eV per atom.

14.
## Ac3TlTe (PBE)

Data for crystalline Ac3TlTe at its relaxed geometry.

Structure (extended XYZ):
```
10
Lattice="-0.159 -3.986 2.979 8.006 -2.654 -3.124 6.218 1.833 6.947" Properties=species:S:1:pos:R:3 pbc="T T T"
Ac 7.982 -2.710 5.842
Ac 12.041 -3.973 4.368
Ac 4.315 -1.506 -1.062
Ac 1.687 -2.134 2.113
Ac 8.448 -4.976 2.836
Ac 5.737 -1.661 2.963
Tl 9.686 -1.737 3.074
Tl 3.490 -3.379 4.705
Te 6.549 -3.774 0.182
Te 6.571 0.456 5.841
```

Calculated values
The raw formation energy is -0.650 eV/atom. Its space group is Cm. The calculation puts the final energy at -4.216 eV per atom.

15.
## LiTm4 (PBE)

Data for crystalline LiTm4 at its relaxed geometry.

Structure (extended XYZ):
```
5
Lattice="-3.481 2.442 -3.153 -3.895 -2.980 1.993 -0.855 3.631 3.757" Properties=species:S:1:pos:R:3 pbc="T T T"
Tm 0.000 0.000 0.000
Tm -2.168 3.036 0.302
Tm -2.375 0.325 2.875
Tm -3.688 -0.269 -0.580
Li -4.116 1.547 1.298
```

Calculated values
The calculated formation energy comes out at 2.3 eV/f.u. Its space group is Pm-3m. The calculation puts the final energy at -3.498 eV per atom.

16.
## LaPr5SmEr2 (PBE)

Data for crystalline LaPr5SmEr2 at its relaxed geometry.

Structure (extended XYZ):
```
18
Lattice="5.765 0.000 0.000 -2.882 10.273 0.000 0.000 0.000 10.756" Properties=species:S:1:pos:R:3 pbc="T T T"
La 2.882 1.729 10.202
La 0.000 8.544 4.824
Pr 0.000 7.959 0.284
Pr 2.882 4.504 8.740
Pr 0.000 9.810 7.971
Pr 0.000 6.052 7.568
Pr 2.882 9.939 5.643
Pr 2.882 2.314 5.662
Pr 0.000 5.769 3.362
Pr 2.882 0.464 2.593
Pr 2.882 4.221 2.190
Pr 0.000 0.334 0.264
Sm 2.882 6.186 5.494
Sm 0.000 4.088 0.116
Er 2.882 7.870 8.838
Er 0.000 2.308 7.905
Er 0.000 2.403 3.460
Er 2.882 7.966 2.526
```

Calculated values
The calculated formation energy comes out at 1.3 eV/f.u. Its space group is Cmc2_1. The calculation puts the final energy at -4.595 eV per atom.

17.
## SmTiCuPt2 (PBE)

Data for crystalline SmTiCuPt2 at its relaxed geometry.

Structure (extended XYZ):
```
5
Lattice="3.915 0.000 0.000 0.000 3.915 0.000 -1.957 -1.957 6.177" Properties=species:S:1:pos:R:3 pbc="T T T"
Sm 0.000 0.000 0.000
Ti 0.000 1.957 3.089
Cu 1.957 0.000 3.089
Pt 1.957 1.957 1.362
Pt 0.000 0.000 4.815
```

Calculated values
The calculated formation energy comes out at -3.9 eV/f.u. Its space group is I-4m2. The calculation puts the final energy at -6.532 eV per atom.

18.
## VGa2Te (PBE)

Data for crystalline VGa2Te at its relaxed geometry.

Structure (extended XYZ):
```
8
Lattice="6.662 0.000 0.000 0.000 6.662 0.000 3.331 3.331 5.202" Properties=species:S:1:pos:R:3 pbc="T T T"
Te 0.000 0.000 0.000
Te 6.662 3.331 2.601
Ga 4.878 1.666 1.300
Ga 1.785 4.997 1.300
Ga 4.997 5.116 3.901
Ga 8.328 8.209 3.901
V 3.331 3.331 0.000
V 3.331 6.662 2.601
```

Calculated values
The raw formation energy is 0.549 eV/atom. Its space group is I-42d. The calculation puts the final energy at -4.030 eV per atom.

19.
## Pm2HoBi (PBE)

Data for crystalline Pm2HoBi at its relaxed geometry.

Structure (extended XYZ):
```
4
Lattice="3.569 0.000 0.000 1.785 3.091 0.000 1.785 1.030 12.299" Properties=species:S:1:pos:R:3 pbc="T T T"
Pm 1.785 1.030 9.065
Pm 5.354 3.091 3.234
Bi 0.000 0.000 0.000
Ho 3.569 2.061 6.149
```

Calculated values
The calculated formation energy comes out at 0.0 eV/f.u. Its space group is R-3m. The calculation puts the final energy at -4.484 eV per atom.

20.
## Al2RhSe (PBE)

Data for crystalline Al2RhSe at its relaxed geometry.

Structure (extended XYZ):
```
4
Lattice="4.941 0.028 0.000 1.686 4.645 0.000 -3.314 -2.336 2.825" Properties=species:S:1:pos:R:3 pbc="T T T"
Rh 3.314 2.336 0.000
Al 0.000 0.000 0.000
Al 0.843 2.322 1.412
Se 2.471 0.014 1.412
```

Calculated values
The raw formation energy is -0.124 eV/atom. Its space group is I-4m2. The calculation puts the final energy at -4.704 eV per atom.